## La4ErSn2 (GGA-PBE)

Data for La4ErSn2 after structural relaxation. Values from VASP.

Cell and atoms, written as Quantum ESPRESSO input:
```
&SYSTEM
  ibrav = 0, nat = 7, ntyp = 3
/
ATOMIC_SPECIES
La 138.91 La.upf
Er 167.26 Er.upf
Sn 118.71 Sn.upf
ATOMIC_POSITIONS crystal
La 0.000 0.500 0.500
La 0.182 0.182 0.000
La 0.500 0.000 0.500
La 0.818 0.818 0.000
Er 0.000 0.000 0.000
Sn 0.369 0.369 0.000
Sn 0.631 0.631 0.000
CELL_PARAMETERS angstrom
-2.776 2.776 8.434
2.776 -2.776 8.434
2.776 2.776 -8.434
```

## Properties
Its formation energy is 1.02 eV per formula unit. The space group is I4/mmm (139).